# Ca4SbPt | Alexandria via LeMat-Bulk | SCAN | single point on PBEsol structure
# **V**: 160.1 Å³/f.u.
# **E_form (uncorrected)**: 1.1 eV/f.u.
data_Ca4SbPt
_chemical_formula_sum 'Ca16 Sb4 Pt4'
_symmetry_space_group_name_H-M 'F -4 3 m'
_symmetry_Int_Tables_number 216
_symmetry_space_group_name_Hall 'F -4 2 3'
_cell_length_a 8.620
_cell_length_b 8.620
_cell_length_c 8.620
_cell_angle_alpha 90.00
_cell_angle_beta 90.00
_cell_angle_gamma 90.00
loop_
_atom_site_label
_atom_site_type_symbol
_atom_site_fract_x
_atom_site_fract_y
_atom_site_fract_z
Ca1 Ca 0.125 0.125 0.125
Sb1 Sb 0.000 0.000 0.500
Pt1 Pt 0.250 0.250 0.750